DFT (PBE) results for a relaxed SmSiPO crystal.

Summary:
Size of the total moment ... 0.0 μB/cell
Calculated density ... 5.49 g/cm3
Distance to the lowest polymorph of the same formula ... 0.1611 eV/atom

abc: 3.9110 5.4276 6.4298
angles: 90.00 90.00 90.00
Closest atoms and distances in Å follow each position.
Fractional positions:
Sm (0.0000, 0.2383, 0.0000)  2 O 2.37-2.38
Sm (0.0000, 0.7617, 0.5000)  2 O 2.37-2.38
Si (0.5000, 0.3197, 0.4024)  2 O 1.99
Si (0.5000, 0.6803, 0.9024)  2 O 1.99
P (0.5000, 0.0801, 0.7011)  2 Si 2.32-2.53
P (0.5000, 0.9199, 0.2011)  2 Si 2.32-2.53
O (0.0000, 0.3590, 0.3562)  2 Si 1.99
O (0.0000, 0.6410, 0.8562)  2 Si 1.99

***

DFT (PBE) results for a relaxed YBeCuPb crystal.

Summary:
Size of the total moment ... 0.0 μB/cell
Calculated density ... 8.03 g/cm3
Distance to the lowest polymorph of the same formula ... 0.0000 eV/atom

abc: 6.7322 6.7322 6.7322
angles: 90.00 90.00 90.00
Closest atoms and distances in Å follow each position.
Fractional positions:
Y (0.0000, 0.0000, 0.0000)  4 Cu 2.92, 4 Be 2.92
Y (0.0000, 0.5000, 0.5000)  4 Be 2.92, 4 Cu 2.92
Y (0.5000, 0.0000, 0.5000)  4 Be 2.92, 4 Cu 2.92
Y (0.5000, 0.5000, 0.0000)  4 Be 2.92, 4 Cu 2.92
Be (0.2500, 0.2500, 0.7500)  4 Pb 2.92, 4 Y 2.92
Be (0.2500, 0.7500, 0.2500)  4 Pb 2.92, 4 Y 2.92
Be (0.7500, 0.2500, 0.2500)  4 Pb 2.92, 4 Y 2.92
Be (0.7500, 0.7500, 0.7500)  4 Pb 2.92, 4 Y 2.92
Cu (0.2500, 0.2500, 0.2500)  4 Pb 2.92, 4 Y 2.92
Cu (0.2500, 0.7500, 0.7500)  4 Pb 2.92, 4 Y 2.92
Cu (0.7500, 0.2500, 0.7500)  4 Pb 2.92, 4 Y 2.92
Cu (0.7500, 0.7500, 0.2500)  4 Pb 2.92, 4 Y 2.92
Pb (0.0000, 0.0000, 0.5000)  4 Be 2.92, 4 Cu 2.92
Pb (0.0000, 0.5000, 0.0000)  4 Be 2.92, 4 Cu 2.92
Pb (0.5000, 0.0000, 0.0000)  4 Be 2.92, 4 Cu 2.92
Pb (0.5000, 0.5000, 0.5000)  4 Be 2.92, 4 Cu 2.92

***

DFT (PBE) results for a relaxed Dy2HoMg3AgHg2 crystal.

Summary:
DFT total energy ... -2.80 eV/atom
Size of the total moment ... 0.0 μB/cell
Calculated density ... 8.20 g/cm3

abc: 4.1320 7.7859 7.7859
angles: 119.98 90.00 90.00
Closest atoms and distances in Å follow each position.
Fractional positions:
Dy (0.0000, 0.2048, 0.7952)  4 Hg 3.13, 1 Ag 3.19, 6 Mg 3.38-3.46
Dy (0.0000, 0.7952, 0.2048)  4 Hg 3.13, 1 Ag 3.19, 6 Mg 3.38-3.46
Ho (0.0000, 0.6144, 0.6144)  4 Hg 3.13, 1 Ag 3.19, 6 Mg 3.39-3.46
Mg (0.5000, 0.2048, 0.4509)  2 Ag 2.82, 2 Hg 2.99
Mg (0.5000, 0.4509, 0.2048)  2 Ag 2.82, 2 Hg 2.99
Mg (0.5000, 0.9587, 0.9587)  2 Ag 2.82, 2 Hg 2.99
Ag (0.0000, 0.2048, 0.2048)  6 Mg 2.82
Hg (0.5000, 0.5382, 0.8714)  3 Mg 2.99, 2 Ho 3.13, 4 Dy 3.13
Hg (0.5000, 0.8714, 0.5382)  3 Mg 2.99, 2 Ho 3.13, 4 Dy 3.13

***

DFT (PBE) results for a relaxed ZrCd2Te3 crystal.

Summary:
DFT total energy ... -3.74 eV/atom
Size of the total moment ... 0.0 μB/cell
Calculated density ... 5.72 g/cm3

abc: 10.7849 10.7849 8.9822
angles: 90.25 90.25 22.86
Closest atoms and distances in Å follow each position.
Fractional positions:
Zr (0.1590, 0.1590, 0.4323)  6 Te 2.94-2.98
Zr (0.8410, 0.8410, 0.5677)  6 Te 2.94-2.98
Cd (0.2269, 0.2269, 0.0883)  2 Cd 2.84, 3 Te 3.06-3.07
Cd (0.4657, 0.4657, 0.6778)  4 Te 2.83-2.94
Cd (0.5343, 0.5343, 0.3222)  4 Te 2.83-2.94
Cd (0.7731, 0.7731, 0.9117)  2 Cd 2.84, 3 Te 3.06-3.07
Te (0.0845, 0.0845, 0.1534)  3 Cd 2.83-3.07, 1 Zr 2.95
Te (0.2541, 0.2541, 0.6714)  3 Zr 2.94-2.97, 2 Cd 3.06
Te (0.4015, 0.4015, 0.3863)  2 Cd 2.87-2.94, 2 Zr 2.98
Te (0.5985, 0.5985, 0.6137)  2 Cd 2.87-2.94, 2 Zr 2.98
Te (0.7459, 0.7459, 0.3286)  3 Zr 2.94-2.97, 2 Cd 3.06
Te (0.9155, 0.9155, 0.8466)  3 Cd 2.83-3.07, 1 Zr 2.95

***

DFT (PBE) results for a relaxed TbIn2Ni9 crystal.

Summary:
DFT total energy ... -5.25 eV/atom
Size of the total moment ... 0.1 μB/cell
Calculated density ... 9.35 g/cm3

abc: 8.2242 8.2242 4.8167
angles: 90.00 90.00 90.00
Closest atoms and distances in Å follow each position.
Fractional positions:
Tb (0.0000, 0.0000, 0.0000)  16 Ni 2.99-3.26, 4 In 3.25
Tb (0.5000, 0.5000, 0.0000)  16 Ni 2.99-3.26, 4 In 3.25
In (0.1246, 0.3754, 0.0000)  12 Ni 2.60-2.83, 1 In 2.90
In (0.3754, 0.8754, 0.0000)  12 Ni 2.60-2.83, 1 In 2.90
In (0.6246, 0.1246, 0.0000)  12 Ni 2.60-2.83, 1 In 2.90
In (0.8754, 0.6246, 0.0000)  12 Ni 2.60-2.83, 1 In 2.90
Ni (0.0000, 0.5000, 0.5000)  8 Ni 2.38-2.47
Ni (0.0635, 0.2061, 0.5000)  8 Ni 2.47-2.68
Ni (0.1764, 0.6764, 0.2483)  7 Ni 2.38-2.51, 1 In 2.60
Ni (0.1764, 0.6764, 0.7517)  7 Ni 2.38-2.51, 1 In 2.60
Ni (0.2061, 0.9365, 0.5000)  8 Ni 2.47-2.68
Ni (0.2939, 0.4365, 0.5000)  8 Ni 2.47-2.68
Ni (0.3236, 0.1764, 0.2483)  7 Ni 2.38-2.51, 1 In 2.60
Ni (0.3236, 0.1764, 0.7517)  7 Ni 2.38-2.51, 1 In 2.60
Ni (0.4365, 0.7061, 0.5000)  8 Ni 2.47-2.68
Ni (0.5000, 0.0000, 0.5000)  8 Ni 2.38-2.47
Ni (0.5635, 0.2939, 0.5000)  8 Ni 2.47-2.68
Ni (0.6764, 0.8236, 0.2483)  7 Ni 2.38-2.51, 1 In 2.60
Ni (0.6764, 0.8236, 0.7517)  7 Ni 2.38-2.51, 1 In 2.60
Ni (0.7061, 0.5635, 0.5000)  8 Ni 2.47-2.68
Ni (0.7939, 0.0635, 0.5000)  8 Ni 2.47-2.68
Ni (0.8236, 0.3236, 0.2483)  7 Ni 2.38-2.51, 1 In 2.60
Ni (0.8236, 0.3236, 0.7517)  7 Ni 2.38-2.51, 1 In 2.60
Ni (0.9365, 0.7939, 0.5000)  8 Ni 2.47-2.68

***

DFT (PBE) results for a relaxed LiPaTa crystal.

Summary:
Size of the total moment ... 0.1 μB/cell
Calculated density ... 10.92 g/cm3
Distance to the lowest polymorph of the same formula ... 0.0000 eV/atom

abc: 6.3401 6.3401 6.3401
angles: 90.00 90.00 90.00
Closest atoms and distances in Å follow each position.
Fractional positions:
Li (0.0000, 0.0000, 0.0000)  4 Ta 2.75
Li (0.0000, 0.5000, 0.5000)  4 Ta 2.75
Li (0.5000, 0.0000, 0.5000)  4 Ta 2.75
Li (0.5000, 0.5000, 0.0000)  4 Ta 2.75
Pa (0.0000, 0.0000, 0.5000)  4 Ta 2.75
Pa (0.0000, 0.5000, 0.0000)  4 Ta 2.75
Pa (0.5000, 0.0000, 0.0000)  4 Ta 2.75
Pa (0.5000, 0.5000, 0.5000)  4 Ta 2.75
Ta (0.2500, 0.2500, 0.7500)  4 Li 2.75, 4 Pa 2.75
Ta (0.2500, 0.7500, 0.2500)  4 Li 2.75, 4 Pa 2.75
Ta (0.7500, 0.2500, 0.2500)  4 Li 2.75, 4 Pa 2.75
Ta (0.7500, 0.7500, 0.7500)  4 Li 2.75, 4 Pa 2.75

***

DFT (PBE) results for a relaxed CsHfScSe3 crystal.

Summary:
Size of the total moment ... 0.0 μB/cell
Calculated density ... 5.70 g/cm3
Distance to the lowest polymorph of the same formula ... 0.0000 eV/atom

abc: 8.3844 8.3844 10.4834
angles: 90.00 90.00 152.05
Closest atoms and distances in Å follow each position.
Fractional positions:
Cs (0.2426, 0.7574, 0.7500)  8 Se 3.58-3.80
Cs (0.7574, 0.2426, 0.2500)  8 Se 3.58-3.80
Hf (0.5000, 0.5000, 0.0000)  6 Se 2.78-2.80
Hf (0.5000, 0.5000, 0.5000)  6 Se 2.78-2.80
Sc (0.0374, 0.9626, 0.2500)  4 Se 2.56-2.58
Sc (0.9626, 0.0374, 0.7500)  4 Se 2.56-2.58
Se (0.1147, 0.8853, 0.0371)  1 Sc 2.56, 2 Hf 2.78
Se (0.1147, 0.8853, 0.4629)  1 Sc 2.56, 2 Hf 2.78
Se (0.4391, 0.5609, 0.2500)  2 Sc 2.58, 2 Hf 2.80
Se (0.5609, 0.4391, 0.7500)  2 Sc 2.58, 2 Hf 2.80
Se (0.8853, 0.1147, 0.5371)  1 Sc 2.56, 2 Hf 2.78
Se (0.8853, 0.1147, 0.9629)  1 Sc 2.56, 2 Hf 2.78

***

DFT (PBE) results for a relaxed TlFeNiIr crystal.

Summary:
Size of the total moment ... 12.5 μB/cell
Calculated density ... 14.37 g/cm3
Distance to the lowest polymorph of the same formula ... 0.0000 eV/atom

abc: 6.1814 6.1814 6.1814
angles: 90.00 90.00 90.00
Closest atoms and distances in Å follow each position.
Fractional positions:
Tl (0.0000, 0.0000, 0.0000)  4 Ni 2.68, 4 Fe 2.68
Tl (0.0000, 0.5000, 0.5000)  4 Ni 2.68, 4 Fe 2.68
Tl (0.5000, 0.0000, 0.5000)  4 Ni 2.68, 4 Fe 2.68
Tl (0.5000, 0.5000, 0.0000)  4 Ni 2.68, 4 Fe 2.68
Fe (0.2500, 0.2500, 0.2500)  4 Tl 2.68, 4 Ir 2.68
Fe (0.2500, 0.7500, 0.7500)  4 Tl 2.68, 4 Ir 2.68
Fe (0.7500, 0.2500, 0.7500)  4 Tl 2.68, 4 Ir 2.68
Fe (0.7500, 0.7500, 0.2500)  4 Tl 2.68, 4 Ir 2.68
Ni (0.2500, 0.2500, 0.7500)  4 Tl 2.68, 4 Ir 2.68
Ni (0.2500, 0.7500, 0.2500)  4 Tl 2.68, 4 Ir 2.68
Ni (0.7500, 0.2500, 0.2500)  4 Tl 2.68, 4 Ir 2.68
Ni (0.7500, 0.7500, 0.7500)  4 Tl 2.68, 4 Ir 2.68
Ir (0.0000, 0.0000, 0.5000)  4 Fe 2.68, 4 Ni 2.68
Ir (0.0000, 0.5000, 0.0000)  4 Fe 2.68, 4 Ni 2.68
Ir (0.5000, 0.0000, 0.0000)  4 Fe 2.68, 4 Ni 2.68
Ir (0.5000, 0.5000, 0.5000)  4 Fe 2.68, 4 Ni 2.68

***

DFT (PBE) results for a relaxed LiPt3Se5 crystal.

Summary:
DFT total energy ... -4.32 eV/atom
Size of the total moment ... 0.0 μB/cell
Calculated density ... 7.06 g/cm3

abc: 6.3536 6.3536 6.6386
angles: 90.00 90.00 120.00
Closest atoms and distances in Å follow each position.
Fractional positions:
Li (0.0000, 0.0000, 0.0000)  2 Se 3.32
Pt (0.0000, 0.5000, 0.5000)  4 Se 2.48
Pt (0.5000, 0.0000, 0.5000)  4 Se 2.48
Pt (0.5000, 0.5000, 0.5000)  4 Se 2.48
Se (0.0000, 0.0000, 0.5000)  6 Pt 3.18, 2 Li 3.32
Se (0.3333, 0.6667, 0.2484)  3 Pt 2.48
Se (0.3333, 0.6667, 0.7516)  3 Pt 2.48
Se (0.6667, 0.3333, 0.2484)  3 Pt 2.48
Se (0.6667, 0.3333, 0.7516)  3 Pt 2.48

***

DFT (PBE) results for a relaxed InB4Ir crystal.

Summary:
Size of the total moment ... 0.0 μB/cell
Calculated density ... 8.82 g/cm3
Distance to the lowest polymorph of the same formula ... 0.0000 eV/atom

abc: 3.0226 3.0226 8.3352
angles: 90.00 90.00 120.00
Closest atoms and distances in Å follow each position.
Fractional positions:
In (0.0000, 0.0000, 0.0000)  12 B 3.01, 6 In 3.02
B (0.3333, 0.6667, 0.2945)  3 B 1.75
B (0.3333, 0.6667, 0.7055)  3 B 1.75
B (0.6667, 0.3333, 0.2945)  3 B 1.75
B (0.6667, 0.3333, 0.7055)  3 B 1.75
Ir (0.0000, 0.0000, 0.5000)  12 B 2.45